# 1
A plane-wave DFT calculation with PBE-GGA was carried out for a relaxed structure of Zr3Sn7.

a = 12.866 Å, b = 12.866 Å, c = 4.308 Å
α = 90.00°, β = 90.00°, γ = 160.63°
Atoms (fractional coordinates):
Zr  0.000  0.000  0.000
Zr  0.312  0.688  0.500
Zr  0.688  0.312  0.500
Sn  0.097  0.903  0.500
Sn  0.209  0.791  0.000
Sn  0.402  0.598  0.000
Sn  0.500  0.500  0.500
Sn  0.598  0.402  0.000
Sn  0.791  0.209  0.000
Sn  0.903  0.097  0.500

## Properties
ρ   7.75 g cm⁻³
Excess energy over the best structure of this formula in the dataset   0.0000 eV/atom

---

# 2
A plane-wave DFT calculation with PBE-GGA was carried out for a relaxed structure of ZrSn.

a = 5.202 Å, b = 9.570 Å, c = 5.572 Å
α = 90.00°, β = 90.00°, γ = 90.00°
Atoms (fractional coordinates):
Zr  0.000  0.062  0.000
Zr  0.000  0.261  0.428
Zr  0.000  0.739  0.928
Zr  0.000  0.938  0.500
Zr  0.500  0.239  0.819
Zr  0.500  0.761  0.319
Sn  0.000  0.394  0.918
Sn  0.000  0.606  0.418
Sn  0.500  0.088  0.315
Sn  0.500  0.431  0.383
Sn  0.500  0.569  0.883
Sn  0.500  0.912  0.815

## Properties
Electronic total energy   -6.5633 eV/atom
ρ   7.54 g cm⁻³

---

# 3
A plane-wave DFT calculation with PBE-GGA was carried out for a relaxed structure of Zr3Sn.

a = 6.195 Å, b = 10.925 Å, c = 5.393 Å
α = 90.00°, β = 90.00°, γ = 90.00°
Atoms (fractional coordinates):
Zr  0.000  0.084  0.250
Zr  0.000  0.916  0.750
Zr  0.247  0.166  0.750
Zr  0.247  0.834  0.250
Zr  0.253  0.334  0.250
Zr  0.253  0.666  0.750
Zr  0.500  0.416  0.750
Zr  0.500  0.584  0.250
Zr  0.747  0.334  0.250
Zr  0.747  0.666  0.750
Zr  0.753  0.166  0.750
Zr  0.753  0.834  0.250
Sn  0.000  0.413  0.750
Sn  0.000  0.587  0.250
Sn  0.500  0.087  0.250
Sn  0.500  0.913  0.750

## Properties
Electronic total energy   -7.5996 eV/atom
ρ   7.14 g cm⁻³

---

# 4
A plane-wave DFT calculation with PBE-GGA was carried out for a relaxed structure of SrTa2.

a = 5.916 Å, b = 5.916 Å, c = 5.916 Å
α = 60.00°, β = 60.00°, γ = 60.00°
Atoms (fractional coordinates):
Sr  0.125  0.125  0.125
Sr  0.875  0.875  0.875
Ta  0.000  0.500  0.500
Ta  0.500  0.000  0.500
Ta  0.500  0.500  0.000
Ta  0.500  0.500  0.500

## Properties
ρ   10.20 g cm⁻³
Excess energy over the best structure of this formula in the dataset   0.0000 eV/atom

---

# 5
A plane-wave DFT calculation with PBE-GGA was carried out for a relaxed structure of SrTa.

a = 6.497 Å, b = 6.497 Å, c = 6.497 Å
α = 90.00°, β = 90.00°, γ = 90.00°
Atoms (fractional coordinates):
Sr  0.000  0.000  0.000
Sr  0.000  0.500  0.500
Sr  0.500  0.000  0.500
Sr  0.500  0.500  0.000
Ta  0.000  0.000  0.500
Ta  0.000  0.500  0.000
Ta  0.500  0.000  0.000
Ta  0.500  0.500  0.500

## Properties
ρ   6.50 g cm⁻³
Excess energy over the best structure of this formula in the dataset   1.1054 eV/atom

---

# 6
A plane-wave DFT calculation with PBE-GGA was carried out for a relaxed structure of SrTaTc.

a = 6.577 Å, b = 6.577 Å, c = 6.577 Å
α = 90.00°, β = 90.00°, γ = 90.00°
Atoms (fractional coordinates):
Sr  0.000  0.000  0.000
Sr  0.000  0.500  0.500
Sr  0.500  0.000  0.500
Sr  0.500  0.500  0.000
Ta  0.000  0.000  0.500
Ta  0.000  0.500  0.000
Ta  0.500  0.000  0.000
Ta  0.500  0.500  0.500
Tc  0.250  0.250  0.250
Tc  0.250  0.750  0.750
Tc  0.750  0.250  0.750
Tc  0.750  0.750  0.250

## Properties
ρ   8.56 g cm⁻³
Excess energy over the best structure of this formula in the dataset   0.0000 eV/atom

---

# 7
A plane-wave DFT calculation with PBE-GGA was carried out for a relaxed structure of SrThTa.

a = 7.377 Å, b = 7.377 Å, c = 7.377 Å
α = 90.00°, β = 90.00°, γ = 90.00°
Atoms (fractional coordinates):
Sr  0.000  0.000  0.000
Sr  0.000  0.500  0.500
Sr  0.500  0.000  0.500
Sr  0.500  0.500  0.000
Th  0.000  0.000  0.500
Th  0.000  0.500  0.000
Th  0.500  0.000  0.000
Th  0.500  0.500  0.500
Ta  0.250  0.250  0.750
Ta  0.250  0.750  0.250
Ta  0.750  0.250  0.250
Ta  0.750  0.750  0.750

## Properties
ρ   8.28 g cm⁻³
Excess energy over the best structure of this formula in the dataset   0.0000 eV/atom

---

# 8
A plane-wave DFT calculation with PBE-GGA was carried out for a relaxed structure of SrTmTa.

a = 7.448 Å, b = 7.448 Å, c = 7.448 Å
α = 90.00°, β = 90.00°, γ = 90.00°
Atoms (fractional coordinates):
Sr  0.000  0.000  0.000
Sr  0.000  0.500  0.500
Sr  0.500  0.000  0.500
Sr  0.500  0.500  0.000
Tm  0.250  0.250  0.250
Tm  0.250  0.750  0.750
Tm  0.750  0.250  0.750
Tm  0.750  0.750  0.250
Ta  0.000  0.000  0.500
Ta  0.000  0.500  0.000
Ta  0.500  0.000  0.000
Ta  0.500  0.500  0.500

## Properties
Electronic total energy   -4.4472 eV/atom
ρ   7.03 g cm⁻³

---

# 9
A plane-wave DFT calculation with PBE-GGA was carried out for a relaxed structure of SrZrTa.

a = 7.134 Å, b = 7.134 Å, c = 7.134 Å
α = 90.00°, β = 90.00°, γ = 90.00°
Atoms (fractional coordinates):
Sr  0.000  0.000  0.000
Sr  0.000  0.500  0.500
Sr  0.500  0.000  0.500
Sr  0.500  0.500  0.000
Zr  0.000  0.000  0.500
Zr  0.000  0.500  0.000
Zr  0.500  0.000  0.000
Zr  0.500  0.500  0.500
Ta  0.250  0.250  0.250
Ta  0.250  0.750  0.750
Ta  0.750  0.250  0.750
Ta  0.750  0.750  0.250

## Properties
ρ   6.58 g cm⁻³
Excess energy over the best structure of this formula in the dataset   0.0000 eV/atom

---

# 10
A plane-wave DFT calculation with PBE-GGA was carried out for a relaxed structure of SrTb.

a = 8.169 Å, b = 8.169 Å, c = 8.169 Å
α = 90.00°, β = 90.00°, γ = 90.00°
Atoms (fractional coordinates):
Sr  0.000  0.000  0.000
Sr  0.000  0.500  0.500
Sr  0.500  0.000  0.500
Sr  0.500  0.500  0.000
Tb  0.250  0.250  0.750
Tb  0.250  0.750  0.250
Tb  0.750  0.250  0.250
Tb  0.750  0.750  0.750

## Properties
ρ   3.00 g cm⁻³
Excess energy over the best structure of this formula in the dataset   1.5611 eV/atom

---

# 11
A plane-wave DFT calculation with PBE-GGA was carried out for a relaxed structure of SrTb2.

a = 8.058 Å, b = 8.058 Å, c = 8.058 Å
α = 90.00°, β = 90.00°, γ = 90.00°
Atoms (fractional coordinates):
Sr  0.000  0.000  0.000
Sr  0.000  0.500  0.500
Sr  0.500  0.000  0.500
Sr  0.500  0.500  0.000
Tb  0.250  0.250  0.250
Tb  0.250  0.250  0.750
Tb  0.250  0.750  0.250
Tb  0.250  0.750  0.750
Tb  0.750  0.250  0.250
Tb  0.750  0.250  0.750
Tb  0.750  0.750  0.250
Tb  0.750  0.750  0.750

## Properties
ρ   5.15 g cm⁻³
Excess energy over the best structure of this formula in the dataset   0.7320 eV/atom

---

# 12
A plane-wave DFT calculation with PBE-GGA was carried out for a relaxed structure of SrTb.

a = 6.987 Å, b = 6.987 Å, c = 6.987 Å
α = 90.00°, β = 90.00°, γ = 90.00°
Atoms (fractional coordinates):
Sr  0.000  0.000  0.000
Sr  0.000  0.500  0.500
Sr  0.500  0.000  0.500
Sr  0.500  0.500  0.000
Tb  0.000  0.000  0.500
Tb  0.000  0.500  0.000
Tb  0.500  0.000  0.000
Tb  0.500  0.500  0.500

## Properties
ρ   4.80 g cm⁻³
Excess energy over the best structure of this formula in the dataset   0.6307 eV/atom

---

# 13
A plane-wave DFT calculation with PBE-GGA was carried out for a relaxed structure of Sr2TbTc2.

a = 5.185 Å, b = 5.185 Å, c = 10.047 Å
α = 90.00°, β = 90.00°, γ = 90.00°
Atoms (fractional coordinates):
Sr  0.000  0.000  0.145
Sr  0.000  0.000  0.855
Sr  0.500  0.500  0.355
Sr  0.500  0.500  0.645
Tb  0.000  0.000  0.500
Tb  0.500  0.500  0.000
Tc  0.000  0.500  0.250
Tc  0.000  0.500  0.750
Tc  0.500  0.000  0.250
Tc  0.500  0.000  0.750

## Properties
ρ   6.52 g cm⁻³
Excess energy over the best structure of this formula in the dataset   0.4780 eV/atom

---

# 14
A plane-wave DFT calculation with PBE-GGA was carried out for a relaxed structure of Sr2TbTc2.

a = 4.561 Å, b = 4.561 Å, c = 13.579 Å
α = 90.00°, β = 90.00°, γ = 90.00°
Atoms (fractional coordinates):
Sr  0.000  0.500  0.250
Sr  0.000  0.500  0.750
Sr  0.500  0.000  0.250
Sr  0.500  0.000  0.750
Tb  0.000  0.000  0.000
Tb  0.500  0.500  0.500
Tc  0.000  0.000  0.421
Tc  0.000  0.000  0.579
Tc  0.500  0.500  0.079
Tc  0.500  0.500  0.921

## Properties
ρ   6.23 g cm⁻³
Excess energy over the best structure of this formula in the dataset   0.0000 eV/atom